Entry 1:
Pa3Pd5Se12 after structural relaxation, computed with PBE-GGA.

Values from the calculation:
- Formation energy without anion corrections: -17.0 kcal/mol of atoms
- Density of states at the Fermi level: 67.38 states/eV/cell
- Space-group type: Ia-3d (230)
- Energy: -5.549 eV per atom

Unit cell a=13.543 b=13.543 c=13.543 alpha=109.47 beta=109.47 gamma=109.47
Sites, in units of the cell vectors:
Pa 0.750 0.375 0.125
Pa 0.875 0.750 0.125
Pa 0.375 0.750 0.625
Pa 0.250 0.125 0.375
Pa 0.875 0.125 0.250
Pa 0.375 0.625 0.250
Pa 0.625 0.375 0.750
Pa 0.125 0.875 0.750
Pa 0.750 0.875 0.625
Pa 0.625 0.250 0.375
Pa 0.125 0.250 0.875
Pa 0.250 0.625 0.875
Pd 0.125 0.375 0.250
Pd 0.000 0.500 0.000
Pd 0.000 0.000 0.000
Pd 0.375 0.250 0.125
Pd 0.500 0.000 0.500
Pd 0.500 0.500 0.000
Pd 0.125 0.750 0.375
Pd 0.750 0.125 0.875
Pd 0.750 0.625 0.375
Pd 0.375 0.125 0.750
Pd 0.625 0.875 0.250
Pd 0.500 0.500 0.500
Pd 0.500 0.000 0.000
Pd 0.000 0.000 0.500
Pd 0.250 0.375 0.625
Pd 0.250 0.875 0.125
Pd 0.000 0.500 0.500
Pd 0.875 0.250 0.625
Pd 0.625 0.750 0.875
Pd 0.875 0.625 0.750
Se 0.714 0.128 0.042
Se 0.329 0.542 0.415
Se 0.958 0.372 0.286
Se 0.542 0.214 0.128
Se 0.586 0.714 0.671
Se 0.958 0.585 0.171
Se 0.329 0.786 0.414
Se 0.085 0.914 0.128
Se 0.585 0.958 0.671
Se 0.714 0.586 0.171
Se 0.786 0.458 0.372
Se 0.829 0.915 0.042
Se 0.128 0.714 0.542
Se 0.372 0.415 0.086
Se 0.086 0.915 0.372
Se 0.414 0.128 0.585
Se 0.086 0.171 0.214
Se 0.458 0.671 0.085
Se 0.829 0.914 0.286
Se 0.128 0.414 0.085
Se 0.372 0.958 0.786
Se 0.585 0.628 0.414
Se 0.915 0.829 0.542
Se 0.786 0.329 0.914
Se 0.415 0.372 0.586
Se 0.085 0.171 0.458
Se 0.214 0.671 0.086
Se 0.171 0.086 0.714
Se 0.628 0.042 0.214
Se 0.872 0.586 0.915
Se 0.542 0.329 0.915
Se 0.586 0.872 0.415
Se 0.914 0.829 0.786
Se 0.914 0.085 0.628
Se 0.872 0.286 0.458
Se 0.171 0.085 0.958
Se 0.628 0.585 0.914
Se 0.415 0.042 0.329
Se 0.286 0.414 0.829
Se 0.214 0.542 0.628
Se 0.915 0.086 0.872
Se 0.671 0.214 0.586
Se 0.458 0.786 0.872
Se 0.042 0.415 0.829
Se 0.414 0.286 0.329
Se 0.042 0.628 0.714
Se 0.671 0.458 0.585
Se 0.286 0.872 0.958

=====

Entry 2:
PaPdSe2 after structural relaxation, computed with PBE-GGA.

Values from the calculation:
- Relative energy among the computed polymorphs: 212 meV/atom
- Formation energy without anion corrections: -16.3 kcal/mol of atoms
- Density of states at the Fermi level: 4.41 states/eV/cell
- Space-group type: R-3m (166)
- Energy: -6.123 eV per atom

Unit cell a=4.203 b=4.203 c=8.196 alpha=75.14 beta=75.14 gamma=60.00
Sites, in units of the cell vectors:
Pa 0.500 0.500 0.500
Se 0.102 0.102 0.694
Se 0.898 0.898 0.306
Pd 0.000 0.000 0.000

=====

Entry 3:
Pa3PdSe6 after structural relaxation, computed with PBE-GGA.

Values from the calculation:
- Relative energy among the computed polymorphs: 164 meV/atom
- Formation energy without anion corrections: -24.2 kcal/mol of atoms
- Density of states at the Fermi level: 17.05 states/eV/cell
- Space-group type: R-3 (148)
- Energy: -6.508 eV per atom

Unit cell a=8.189 b=8.189 c=8.189 alpha=87.75 beta=87.75 gamma=87.75
Sites, in units of the cell vectors:
Pa 0.412 0.928 0.768
Pa 0.928 0.768 0.412
Pa 0.232 0.588 0.072
Pa 0.768 0.412 0.928
Pa 0.072 0.232 0.588
Pa 0.588 0.072 0.232
Pd 0.000 0.000 0.000
Pd 0.500 0.500 0.500
Se 0.311 0.917 0.113
Se 0.083 0.887 0.689
Se 0.589 0.812 0.471
Se 0.887 0.689 0.083
Se 0.471 0.589 0.812
Se 0.188 0.529 0.411
Se 0.812 0.471 0.589
Se 0.529 0.411 0.188
Se 0.113 0.311 0.917
Se 0.411 0.188 0.529
Se 0.917 0.113 0.311
Se 0.689 0.083 0.887

=====

Entry 4:
PaPdSe after structural relaxation, computed with PBE-GGA.

Values from the calculation:
- Relative energy among the computed polymorphs: 135 meV/atom
- Formation energy without anion corrections: -15.9 kcal/mol of atoms
- Density of states at the Fermi level: 7.36 states/eV/cell
- Space-group type: Pm (6)
- Energy: -6.748 eV per atom

Unit cell a=4.137 b=5.837 c=6.385 alpha=69.29 beta=90.00 gamma=90.00
Sites, in units of the cell vectors:
Pd 0.328 0.811 0.134
Pd 0.828 0.539 0.424
Se 0.328 0.213 0.574
Se 0.828 0.570 0.977
Pa 0.328 0.718 0.623
Pa 0.828 0.112 0.921

=====

Entry 5:
PaPd2Se after structural relaxation, computed with PBE-GGA.

Values from the calculation:
- Formation energy without anion corrections: -11.4 kcal/mol of atoms
- Density of states at the Fermi level: 3.68 states/eV/cell
- Space-group type: Fm-3m (225)
- Energy: -6.336 eV per atom

Unit cell a=4.797 b=4.797 c=4.794 alpha=59.98 beta=59.98 gamma=60.00
Sites, in units of the cell vectors:
Pa 0.500 0.500 0.500
Se 0.000 0.000 0.000
Pd 0.250 0.250 0.250
Pd 0.750 0.750 0.750

=====

Entry 6:
Pa6PdSe5 after structural relaxation, computed with PBE-GGA.

Values from the calculation:
- Formation energy without anion corrections: -23.7 kcal/mol of atoms
- Density of states at the Fermi level: 26.04 states/eV/cell
- Space-group type: C2/m (12)
- Energy: -7.658 eV per atom

Unit cell a=7.058 b=7.058 c=7.079 alpha=99.52 beta=99.52 gamma=119.73
Sites, in units of the cell vectors:
Pa 0.410 0.080 0.245
Pa 0.920 0.590 0.755
Pa 0.244 0.244 0.751
Pa 0.756 0.756 0.249
Pa 0.080 0.410 0.245
Pa 0.590 0.920 0.755
Se 0.831 0.169 0.500
Se 0.665 0.335 0.000
Se 0.500 0.500 0.500
Se 0.335 0.665 0.000
Se 0.169 0.831 0.500
Pd 0.000 0.000 0.000

=====

Entry 7:
PaPdSe3 after structural relaxation, computed with PBE-GGA.

Values from the calculation:
- Relative energy among the computed polymorphs: 0 meV/atom
- Formation energy without anion corrections: -21.3 kcal/mol of atoms
- Density of states at the Fermi level: 9.12 states/eV/cell
- Space-group type: Cmcm (63)
- Energy: -5.953 eV per atom

Unit cell a=3.987 b=6.977 c=9.248 alpha=90.00 beta=90.00 gamma=106.59
Sites, in units of the cell vectors:
Pa 0.235 0.971 0.250
Pa 0.765 0.029 0.750
Pd 0.976 0.450 0.250
Pd 0.024 0.550 0.750
Se 0.834 0.168 0.072
Se 0.166 0.832 0.928
Se 0.834 0.168 0.428
Se 0.166 0.832 0.572
Se 0.587 0.675 0.250
Se 0.413 0.325 0.750

=====

Entry 8:
PaPd2Se4 after structural relaxation, computed with PBE-GGA.

Values from the calculation:
- Formation energy without anion corrections: -9.5 kcal/mol of atoms
- Density of states at the Fermi level: 7.95 states/eV/cell
- Space-group type: I4/m (87)
- Energy: -5.243 eV per atom

Unit cell a=5.833 b=5.833 c=5.833 alpha=104.06 beta=104.06 gamma=120.93
Sites, in units of the cell vectors:
Pa 0.500 0.500 0.000
Pd 0.250 0.750 0.500
Pd 0.750 0.250 0.500
Se 0.263 0.183 0.446
Se 0.817 0.263 0.080
Se 0.183 0.737 0.920
Se 0.737 0.817 0.554

=====

Entry 9:
SrPaPd2Se4 after structural relaxation, computed with PBE-GGA.

Values from the calculation:
- Formation energy without anion corrections: -22.3 kcal/mol of atoms
- Density of states at the Fermi level: 4.55 states/eV/cell
- Space-group type: I222 (23)
- Energy: -5.406 eV per atom

Unit cell a=6.770 b=6.371 c=6.371 alpha=68.94 beta=57.90 gamma=57.90
Sites, in units of the cell vectors:
Sr 0.000 0.000 0.000
Pa 0.500 0.500 0.500
Pd 0.174 0.326 0.326
Pd 0.826 0.674 0.674
Se 0.485 0.064 0.525
Se 0.074 0.936 0.475
Se 0.926 0.525 0.064
Se 0.515 0.475 0.936

=====

Entry 10:
Pa2TePdSe4 after structural relaxation, computed with PBE-GGA.

Values from the calculation:
- Formation energy without anion corrections: -23.2 kcal/mol of atoms
- Density of states at the Fermi level: 3.31 states/eV/cell
- Space-group type: C2/m (12)
- Energy: -6.165 eV per atom

Unit cell a=4.048 b=6.672 c=8.818 alpha=58.43 beta=76.73 gamma=72.34
Sites, in units of the cell vectors:
Pa 0.825 0.638 0.712
Pa 0.175 0.362 0.288
Te 0.500 0.500 0.500
Pd 0.000 0.000 0.000
Se 0.177 0.970 0.675
Se 0.367 0.310 0.956
Se 0.823 0.030 0.325
Se 0.633 0.690 0.044

=====

Entry 11:
Pa2Tl3PdSe6 after structural relaxation, computed with PBE-GGA.

Values from the calculation:
- Formation energy without anion corrections: -19.7 kcal/mol of atoms
- Density of states at the Fermi level: 6.81 states/eV/cell
- Space-group type: C2/m (12)
- Energy: -5.203 eV per atom

Unit cell a=7.047 b=7.047 c=8.267 alpha=97.92 beta=97.92 gamma=120.65
Sites, in units of the cell vectors:
Pa 0.333 0.667 0.000
Pa 0.667 0.333 0.000
Tl 0.162 0.838 0.500
Tl 0.838 0.162 0.500
Tl 0.500 0.500 0.500
Pd 0.000 0.000 0.000
Se 0.932 0.587 0.791
Se 0.731 0.731 0.196
Se 0.068 0.413 0.209
Se 0.587 0.932 0.791
Se 0.269 0.269 0.804
Se 0.413 0.068 0.209

=====

Entry 12:
PaTlPdSe3 after structural relaxation, computed with PBE-GGA.

Values from the calculation:
- Formation energy without anion corrections: -23.1 kcal/mol of atoms
- Space-group type: Cmcm (63)
- Energy: -5.588 eV per atom

Unit cell a=4.105 b=7.604 c=10.574 alpha=90.00 beta=90.00 gamma=105.66
Sites, in units of the cell vectors:
Pa 0.000 0.000 0.500
Pa 0.000 0.000 0.000
Tl 0.762 0.524 0.750
Tl 0.238 0.476 0.250
Pd 0.457 0.913 0.750
Pd 0.543 0.087 0.250
Se 0.631 0.261 0.460
Se 0.369 0.739 0.540
Se 0.369 0.739 0.960
Se 0.631 0.261 0.040
Se 0.065 0.131 0.750
Se 0.935 0.869 0.250

=====

Entry 13:
PaTlPd2Se4 after structural relaxation, computed with PBE-GGA.

Values from the calculation:
- Formation energy without anion corrections: -12.8 kcal/mol of atoms
- Density of states at the Fermi level: 4.23 states/eV/cell
- Space-group type: I222 (23)
- Energy: -5.076 eV per atom

Unit cell a=6.909 b=6.199 c=6.199 alpha=71.48 beta=56.13 gamma=56.13
Sites, in units of the cell vectors:
Pa 0.500 0.500 0.500
Tl 0.000 0.000 0.000
Pd 0.196 0.304 0.304
Pd 0.804 0.696 0.696
Se 0.473 0.048 0.534
Se 0.055 0.952 0.466
Se 0.945 0.534 0.048
Se 0.527 0.466 0.952

=====

Entry 14:
PaTl2PdSe4 after structural relaxation, computed with PBE-GGA.

Values from the calculation:
- Formation energy without anion corrections: -17.0 kcal/mol of atoms
- Density of states at the Fermi level: 4.35 states/eV/cell
- Space-group type: P2/m (10)
- Energy: -4.908 eV per atom

Unit cell a=4.171 b=8.577 c=6.273 alpha=71.49 beta=90.00 gamma=90.00
Sites, in units of the cell vectors:
Pa 0.000 0.500 0.500
Tl 0.000 0.000 0.000
Tl 0.500 0.000 0.500
Pd 0.500 0.500 0.000
Se 0.000 0.692 0.778
Se 0.000 0.308 0.222
Se 0.500 0.702 0.260
Se 0.500 0.298 0.740

=====

Entry 15:
Pa3Si2Pd7 after structural relaxation, computed with PBE-GGA.

Values from the calculation:
- Formation energy without anion corrections: -14.4 kcal/mol of atoms
- Density of states at the Fermi level: 11.00 states/eV/cell
- Space-group type: I4/mmm (139)
- Energy: -6.932 eV per atom

Unit cell a=4.003 b=4.003 c=14.172 alpha=98.12 beta=98.12 gamma=90.00
Sites, in units of the cell vectors:
Pa 0.325 0.325 0.650
Pa 0.675 0.675 0.350
Pa 0.500 0.500 0.000
Si 0.131 0.131 0.261
Si 0.869 0.869 0.739
Pd 0.000 0.000 0.000
Pd 0.922 0.422 0.845
Pd 0.422 0.922 0.845
Pd 0.078 0.578 0.155
Pd 0.578 0.078 0.155
Pd 0.221 0.221 0.442
Pd 0.779 0.779 0.558

=====

Entry 16:
PaSiPd after structural relaxation, computed with PBE-GGA.

Values from the calculation:
- Formation energy without anion corrections: -17.0 kcal/mol of atoms
- Density of states at the Fermi level: 2.89 states/eV/cell
- Space-group type: P3m1 (156)
- Energy: -7.443 eV per atom

Unit cell a=3.746 b=4.251 c=4.251 alpha=120.00 beta=90.00 gamma=90.00
Sites, in units of the cell vectors:
Si 0.150 0.000 0.000
Pa 0.666 0.333 0.667
Pd 0.184 0.667 0.333

=====

Entry 17:
Pa2Si5Pd3 after structural relaxation, computed with PBE-GGA.

Values from the calculation:
- Formation energy without anion corrections: -14.5 kcal/mol of atoms
- Density of states at the Fermi level: 19.59 states/eV/cell
- Space-group type: Ibam (72)
- Energy: -6.797 eV per atom

Unit cell a=6.001 b=8.202 c=8.202 alpha=73.54 beta=68.54 gamma=68.54
Sites, in units of the cell vectors:
Pa 0.129 0.600 0.143
Pa 0.629 0.143 0.600
Pa 0.871 0.400 0.857
Pa 0.371 0.857 0.400
Si 0.389 0.267 0.956
Si 0.889 0.956 0.267
Si 0.611 0.733 0.044
Si 0.111 0.044 0.733
Si 0.469 0.781 0.781
Si 0.531 0.219 0.219
Si 0.750 0.500 0.500
Si 0.250 0.500 0.500
Si 0.031 0.219 0.219
Si 0.969 0.781 0.781
Pd 0.357 0.539 0.748
Pd 0.857 0.748 0.539
Pd 0.643 0.461 0.252
Pd 0.143 0.252 0.461
Pd 0.250 0.000 0.000
Pd 0.750 0.000 0.000

=====

Entry 18:
PaSi6Pd12 after structural relaxation, computed with PBE-GGA.

Values from the calculation:
- Formation energy without anion corrections: -12.8 kcal/mol of atoms
- Density of states at the Fermi level: 15.02 states/eV/cell
- Space-group type: R-3m (166)
- Energy: -6.049 eV per atom

Unit cell a=7.071 b=7.071 c=7.071 alpha=105.55 beta=105.55 gamma=105.55
Sites, in units of the cell vectors:
Pa 0.000 0.000 0.000
Si 0.694 0.251 0.251
Si 0.251 0.251 0.694
Si 0.251 0.694 0.251
Si 0.749 0.749 0.306
Si 0.306 0.749 0.749
Si 0.749 0.306 0.749
Pd 0.876 0.124 0.500
Pd 0.830 0.571 0.571
Pd 0.571 0.571 0.830
Pd 0.429 0.170 0.429
Pd 0.429 0.429 0.170
Pd 0.170 0.429 0.429
Pd 0.124 0.500 0.876
Pd 0.500 0.876 0.124
Pd 0.124 0.876 0.500
Pd 0.876 0.500 0.124
Pd 0.500 0.124 0.876
Pd 0.571 0.830 0.571

=====

Entry 19:
Pa2Si2Pd after structural relaxation, computed with PBE-GGA.

Values from the calculation:
- Relative energy among the computed polymorphs: 0 meV/atom
- Formation energy without anion corrections: -14.4 kcal/mol of atoms
- Density of states at the Fermi level: 6.84 states/eV/cell
- Space-group type: Immm (71)
- Energy: -7.633 eV per atom

Unit cell a=3.854 b=5.645 c=5.646 alpha=59.42 beta=70.04 gamma=70.04
Sites, in units of the cell vectors:
Pa 0.715 0.785 0.285
Pa 0.285 0.215 0.715
Si 0.000 0.214 0.286
Si 0.000 0.786 0.714
Pd 0.500 0.500 0.000

=====

Results for calculated volume: 1912; 120; 548; 144; 78; 289; 247; 148; 196; 193; 339; 318; 183; 213; 223; 59; 344; 305; 97 (in Å³/cell, following the order of the records).